The following is a DFT calculation (PBE) of a geometry-optimized SrY2Cu structure.

energy of formation	0.0349	eV/atom
energy above the most stable polymorph in this dataset	0.0275	eV per atom
raw total energy	-18.57	eV for the cell shown
space group	Immm

Lattice parameters (Å, degrees): 6.8526 6.8526 5.6952 65.44 65.44 30.31
Closest atoms and distances in Å follow each position.
Fractional positions:
Y 0.4453 0.4453 0.5548  2 Cu 2.94
Sr 0.2500 0.2500 0.2500  4 Cu 3.36, 2 Sr 3.58, 4 Y 3.68
Cu 0.7500 0.7500 0.7500  4 Y 2.94
Y 0.0547 0.0547 0.9452  2 Cu 2.94